Record 1
The following is a DFT calculation (PBEsol) of crystalline La2YZn at its relaxed geometry.

Computed properties:
As for the energy above the most stable polymorph in this dataset: 0.055 eV per atom. The value obtained for the total energy is -4.8738 eV per atom. The value obtained for the formation energy is -0.100 eV/atom.

Geometry as POSCAR:
```
La2YZn
1.0
-1.839 2.578 5.996
1.839 -2.578 5.996
1.839 2.578 -5.996
La Y Zn
2 1 1
direct
0.209 0.209 0.000
0.791 0.791 0.000
0.500 0.000 0.500
0.000 0.500 0.500
```

Record 2
The following is a DFT calculation (PBEsol) of crystalline TlCo3Ir at its relaxed geometry.

Computed properties:
The value obtained for the total energy is -5.8274 eV per atom. The value obtained for the formation energy is 1.306 eV/atom.

Geometry as POSCAR:
```
TlCo3Ir
1.0
4.525 0.000 0.000
0.000 4.525 0.000
0.000 0.000 4.525
Tl Co Ir
1 3 1
direct
0.000 0.000 0.000
0.000 0.500 0.500
0.500 0.000 0.500
0.500 0.500 0.000
0.500 0.500 0.500
```

Record 3
The following is a DFT calculation (PBEsol) of crystalline SbSeBr2O at its relaxed geometry.

Computed properties:
The value obtained for the total energy is -2.8753 eV per atom. The formation energy from raw total energies comes out at 0.604 eV/atom.

Geometry as POSCAR:
```
SbSeBr2O
1.0
5.422 0.000 0.000
0.000 5.422 0.000
0.000 0.000 5.418
Sb Se Br O
1 1 2 1
direct
0.000 0.000 0.000
0.000 0.000 0.500
0.000 0.500 0.000
0.500 0.000 0.000
0.500 0.500 0.500
```

Record 4
The following is a DFT calculation (PBEsol) of crystalline PrNiSb2 at its relaxed geometry.

Computed properties:
The value obtained for the total energy is -5.8810 eV per atom. The formation energy from raw total energies comes out at -0.767 eV/atom.

Geometry as POSCAR:
```
PrNiSb2
1.0
4.358 0.000 0.000
0.000 4.358 0.000
0.000 0.000 9.682
Pr Ni Sb
2 2 4
direct
0.250 0.250 0.240
0.750 0.750 0.760
0.250 0.750 0.000
0.750 0.250 0.000
0.250 0.250 0.868
0.250 0.750 0.500
0.750 0.250 0.500
0.750 0.750 0.132
```

Record 5
The following is a DFT calculation (PBEsol) of crystalline Ag3Pt5 at its relaxed geometry.

Computed properties:
As for the energy above the most stable polymorph in this dataset: 0.022 eV per atom. The value obtained for the total energy is -5.5804 eV per atom. The value obtained for the formation energy is 0.014 eV/atom.

Geometry as POSCAR:
```
Ag3Pt5
1.0
6.072 -1.379 0.000
6.072 1.379 0.000
-5.693 0.000 7.370
Ag Pt
3 5
direct
0.000 0.000 0.000
0.372 0.372 0.124
0.628 0.628 0.876
0.123 0.123 0.375
0.250 0.250 0.741
0.500 0.500 0.500
0.750 0.750 0.259
0.877 0.877 0.625
```

Record 6
The following is a DFT calculation (PBEsol) of crystalline SrTcSb2 at its relaxed geometry.

Computed properties:
As for the energy above the most stable polymorph in this dataset: 0.000 eV per atom. The value obtained for the total energy is -5.5938 eV per atom. The formation energy from raw total energies comes out at -0.038 eV/atom.

Geometry as POSCAR:
```
SrTcSb2
1.0
5.942 -1.649 0.000
5.942 1.649 0.000
-3.190 0.000 5.272
Sr Tc Sb
1 1 2
direct
0.000 0.000 0.000
0.252 0.252 0.542
0.654 0.654 0.735
0.837 0.837 0.320
```

Record 7
The following is a DFT calculation (PBEsol) of crystalline CrNi2Sb at its relaxed geometry.

Computed properties:
The value obtained for the total energy is -6.6296 eV per atom. The formation energy from raw total energies comes out at 0.149 eV/atom.

Geometry as POSCAR:
```
CrNi2Sb
1.0
4.090 -1.522 0.000
4.090 1.522 0.000
-1.007 0.000 4.368
Cr Ni Sb
1 2 1
direct
0.000 0.000 0.000
0.255 0.255 0.778
0.745 0.745 0.222
0.500 0.500 0.500
```

Record 8
The following is a DFT calculation (PBEsol) of crystalline SiAs2Ru at its relaxed geometry.

Computed properties:
The value obtained for the total energy is -6.1891 eV per atom. The formation energy from raw total energies comes out at 0.344 eV/atom.

Geometry as POSCAR:
```
SiAs2Ru
1.0
1.447 -2.433 0.000
1.447 2.433 0.000
0.000 0.000 9.112
Si As Ru
1 2 1
direct
0.000 0.000 0.000
0.500 0.500 0.276
0.500 0.500 0.724
0.000 0.000 0.500
```

Record 9
The following is a DFT calculation (PBEsol) of crystalline KBaSb at its relaxed geometry.

Computed properties:
The value obtained for the total energy is -3.2103 eV per atom. The formation energy from raw total energies comes out at -0.597 eV/atom.

Geometry as POSCAR:
```
KBaSb
1.0
-2.339 2.339 5.163
2.339 -2.339 5.163
2.339 2.339 -5.163
K Ba Sb
1 1 1
direct
0.000 0.000 0.000
0.692 0.692 0.000
0.335 0.335 0.000
```

Record 10
The following is a DFT calculation (PBEsol) of crystalline La2HgOs at its relaxed geometry.

Computed properties:
The value obtained for the total energy is -5.8565 eV per atom. The value obtained for the formation energy is 0.012 eV/atom.

Geometry as POSCAR:
```
La2HgOs
1.0
-2.262 2.262 4.444
2.262 -2.262 4.444
2.262 2.262 -4.444
La Hg Os
2 1 1
direct
0.000 0.000 0.000
0.750 0.250 0.500
0.250 0.750 0.500
0.500 0.500 0.000
```

Record 11
The following is a DFT calculation (PBEsol) of crystalline SnAs3H at its relaxed geometry.

Computed properties:
The value obtained for the total energy is -3.1225 eV per atom.

Geometry as POSCAR:
```
SnAs3H
1.0
5.247 0.000 0.000
0.000 5.247 0.000
0.000 0.000 5.247
Sn As H
1 3 1
direct
0.000 0.000 0.000
0.000 0.000 0.500
0.000 0.500 0.000
0.500 0.000 0.000
0.500 0.500 0.500
```

Record 12
The following is a DFT calculation (PBEsol) of crystalline AgBr at its relaxed geometry.

Computed properties:
The value obtained for the total energy is -2.8323 eV per atom. The formation energy from raw total energies comes out at -0.242 eV/atom.

Geometry as POSCAR:
```
AgBr
1.0
10.735 0.000 0.000
0.000 7.332 0.000
0.000 0.000 7.511
Ag Br
12 12
direct
0.086 0.044 0.250
0.086 0.456 0.750
0.327 0.063 0.750
0.327 0.437 0.250
0.340 0.750 0.000
0.340 0.750 0.500
0.660 0.250 0.000
0.660 0.250 0.500
0.673 0.563 0.750
0.673 0.937 0.250
0.914 0.544 0.250
0.914 0.956 0.750
0.138 0.698 0.250
0.138 0.802 0.750
0.199 0.250 0.000
0.199 0.250 0.500
0.435 0.541 0.750
0.435 0.959 0.250
0.565 0.041 0.750
0.565 0.459 0.250
0.801 0.750 0.000
0.801 0.750 0.500
0.862 0.198 0.250
0.862 0.302 0.750
```

Record 13
The following is a DFT calculation (PBEsol) of crystalline Ca2SbOs at its relaxed geometry.

Computed properties:
The value obtained for the total energy is -5.3187 eV per atom. The formation energy from raw total energies comes out at -0.059 eV/atom.

Geometry as POSCAR:
```
Ca2SbOs
1.0
-1.698 2.508 5.624
1.698 -2.508 5.624
1.698 2.508 -5.624
Ca Sb Os
2 1 1
direct
0.000 0.000 0.000
0.700 0.200 0.500
0.401 0.401 0.000
0.224 0.724 0.500
```

Record 14
The following is a DFT calculation (PBEsol) of crystalline BaAgPb2 at its relaxed geometry.

Computed properties:
As for the energy above the most stable polymorph in this dataset: 0.002 eV per atom. The value obtained for the total energy is -3.6642 eV per atom. The value obtained for the formation energy is -0.300 eV/atom.

Geometry as POSCAR:
```
BaAgPb2
1.0
5.221 0.000 0.000
0.000 4.777 0.000
-1.280 0.000 5.076
Ba Ag Pb
1 1 2
direct
0.000 0.000 0.000
0.500 0.000 0.500
0.311 0.500 0.689
0.689 0.500 0.311
```

Record 15
The following is a DFT calculation (PBEsol) of crystalline ZrScAl2H at its relaxed geometry.

Computed properties:
The value obtained for the total energy is -4.0293 eV per atom.

Geometry as POSCAR:
```
ZrScAl2H
1.0
5.211 0.000 0.000
0.000 5.211 0.000
0.000 0.000 5.058
Zr Sc Al H
1 1 2 1
direct
0.000 0.000 0.000
0.000 0.000 0.500
0.000 0.500 0.000
0.500 0.000 0.000
0.500 0.500 0.500
```

Record 16
The following is a DFT calculation (PBEsol) of crystalline Na5Nd4Si4O17 at its relaxed geometry.

Computed properties:
The value obtained for the total energy is -7.4511 eV per atom. The formation energy from raw total energies comes out at -2.788 eV/atom.

Geometry as POSCAR:
```
Na5Nd4Si4O17
1.0
-5.923 5.923 2.762
5.923 -5.923 2.762
5.923 5.923 -2.762
Na Nd Si O
5 4 4 17
direct
0.000 0.000 0.000
0.087 0.392 0.515
0.428 0.913 0.305
0.608 0.122 0.695
0.878 0.572 0.485
0.294 0.592 0.934
0.408 0.342 0.702
0.640 0.706 0.298
0.658 0.360 0.066
0.114 0.763 0.855
0.237 0.091 0.351
0.740 0.886 0.649
0.909 0.260 0.145
0.039 0.174 0.770
0.074 0.582 0.721
0.138 0.168 0.435
0.227 0.479 0.183
0.296 0.044 0.817
0.297 0.862 0.029
0.404 0.268 0.230
0.418 0.139 0.492
0.500 0.500 0.000
0.521 0.704 0.748
0.648 0.926 0.508
0.732 0.961 0.135
0.733 0.703 0.565
0.826 0.596 0.865
0.832 0.267 0.971
0.861 0.352 0.279
0.956 0.773 0.252
```

Record 17
The following is a DFT calculation (PBEsol) of crystalline TlTcNF2 at its relaxed geometry.

Computed properties:
The value obtained for the total energy is -4.7428 eV per atom. The formation energy from raw total energies comes out at 0.513 eV/atom.

Geometry as POSCAR:
```
TlTcNF2
1.0
4.397 0.000 0.000
0.000 4.397 0.000
0.000 0.000 4.190
Tl Tc N F
1 1 1 2
direct
0.000 0.000 0.000
0.500 0.500 0.500
0.000 0.000 0.500
0.000 0.500 0.000
0.500 0.000 0.000
```

Record 18
The following is a DFT calculation (PBEsol) of crystalline TlSiAu2 at its relaxed geometry.

Computed properties:
As for the energy above the most stable polymorph in this dataset: 0.011 eV per atom. The value obtained for the total energy is -4.0005 eV per atom. The formation energy from raw total energies comes out at 0.056 eV/atom.

Geometry as POSCAR:
```
TlSiAu2
1.0
4.106 -1.608 0.000
4.106 1.608 0.000
-1.530 0.000 6.218
Tl Si Au
1 1 2
direct
0.000 0.000 0.000
0.644 0.644 0.435
0.231 0.231 0.732
0.339 0.339 0.310
```

Record 19
The following is a DFT calculation (PBEsol) of crystalline BaSc2TaH at its relaxed geometry.

Computed properties:
The value obtained for the total energy is -5.8149 eV per atom.

Geometry as POSCAR:
```
BaSc2TaH
1.0
4.565 0.000 0.000
0.000 4.565 0.000
0.000 0.000 4.777
Ba Sc Ta H
1 2 1 1
direct
0.000 0.000 0.000
0.000 0.500 0.500
0.500 0.000 0.500
0.500 0.500 0.000
0.000 0.000 0.500
```

Record 20
The following is a DFT calculation (PBEsol) of crystalline Fe2RhW at its relaxed geometry.

Computed properties:
As for the energy above the most stable polymorph in this dataset: 0.000 eV per atom. The value obtained for the total energy is -10.0216 eV per atom. The value obtained for the formation energy is -0.053 eV/atom.

Geometry as POSCAR:
```
Fe2RhW
1.0
3.693 0.000 0.000
0.000 3.693 0.000
0.000 0.000 3.575
Fe Rh W
2 1 1
direct
0.000 0.500 0.000
0.500 0.000 0.000
0.000 0.000 0.500
0.500 0.500 0.500
```

Record 21
The following is a DFT calculation (PBEsol) of crystalline Sr2LiY at its relaxed geometry.

Computed properties:
As for the energy above the most stable polymorph in this dataset: 0.126 eV per atom. The value obtained for the total energy is -2.8441 eV per atom. The value obtained for the formation energy is 0.273 eV/atom.

Geometry as POSCAR:
```
Sr2LiY
1.0
0.000 4.253 4.253
4.253 0.000 4.253
4.253 4.253 0.000
Sr Li Y
2 1 1
direct
0.250 0.250 0.250
0.750 0.750 0.750
0.000 0.000 0.000
0.500 0.500 0.500
```

Record 22
The following is a DFT calculation (PBEsol) of crystalline Zn2PtPb at its relaxed geometry.

Computed properties:
The value obtained for the total energy is -3.5133 eV per atom. The value obtained for the formation energy is 0.018 eV/atom.

Geometry as POSCAR:
```
Zn2PtPb
1.0
-2.083 2.083 3.964
2.083 -2.083 3.964
2.083 2.083 -3.964
Zn Pt Pb
2 1 1
direct
0.250 0.750 0.500
0.750 0.250 0.500
0.000 0.000 0.000
0.500 0.500 0.000
```

Record 23
The following is a DFT calculation (PBEsol) of crystalline Li2InAs2 at its relaxed geometry.

Computed properties:
As for the energy above the most stable polymorph in this dataset: 0.000 eV per atom. The value obtained for the total energy is -3.8043 eV per atom. The value obtained for the formation energy is -0.379 eV/atom.

Geometry as POSCAR:
```
Li2InAs2
1.0
7.978 0.000 0.000
0.000 7.978 0.000
0.000 0.000 2.819
Li In As
4 2 4
direct
0.124 0.376 0.000
0.376 0.876 0.000
0.624 0.124 0.000
0.876 0.624 0.000
0.000 0.000 0.500
0.500 0.500 0.500
0.172 0.672 0.500
0.328 0.172 0.500
0.672 0.828 0.500
0.828 0.328 0.500
```

Record 24
The following is a DFT calculation (PBEsol) of crystalline K2HoNb5O15 at its relaxed geometry.

Computed properties:
The value obtained for the total energy is -8.7070 eV per atom. The formation energy from raw total energies comes out at -2.617 eV/atom.

Geometry as POSCAR:
```
K2HoNb5O15
1.0
12.619 0.000 0.000
0.000 12.619 0.000
0.000 0.000 3.920
K Ho Nb O
4 2 10 30
direct
0.170 0.330 0.000
0.330 0.830 0.000
0.670 0.170 0.000
0.830 0.670 0.000
0.000 0.000 0.000
0.500 0.500 0.000
0.000 0.500 0.500
0.077 0.789 0.500
0.211 0.077 0.500
0.289 0.577 0.500
0.423 0.289 0.500
0.500 0.000 0.500
0.577 0.711 0.500
0.711 0.423 0.500
0.789 0.923 0.500
0.923 0.211 0.500
0.000 0.500 0.000
0.001 0.342 0.500
0.058 0.130 0.500
0.078 0.817 0.000
0.130 0.942 0.500
0.158 0.499 0.500
0.183 0.078 0.000
0.218 0.718 0.500
0.282 0.218 0.500
0.317 0.578 0.000
0.342 0.999 0.500
0.370 0.442 0.500
0.422 0.317 0.000
0.442 0.630 0.500
0.499 0.842 0.500
0.500 0.000 0.000
0.501 0.158 0.500
0.558 0.370 0.500
0.578 0.683 0.000
0.630 0.558 0.500
0.658 0.001 0.500
0.683 0.422 0.000
0.718 0.782 0.500
0.782 0.282 0.500
0.817 0.922 0.000
0.842 0.501 0.500
0.870 0.058 0.500
0.922 0.183 0.000
0.942 0.870 0.500
0.999 0.658 0.500
```